Entry 1:
The following is a DFT calculation (PBE) of an optimized crystal structure of NdSmHg3.

## Properties
DFT formation energy: -0.421 eV/atom
Energy relative to the lowest polymorph listed for this composition: 0.00 eV per formula unit
M_tot: 0.299 μB per cell

Structure (POSCAR):
```
NdSmHg3
1.0
1.792 -14.848 0.000
1.792 14.848 0.000
0.000 0.000 5.024
Nd Sm Hg
2 2 6
direct
0.075 0.925 0.750
0.925 0.075 0.250
0.210 0.790 0.250
0.790 0.210 0.750
0.321 0.679 0.250
0.379 0.621 0.750
0.476 0.524 0.750
0.524 0.476 0.250
0.621 0.379 0.250
0.679 0.321 0.750
```



Entry 2:
The following is a DFT calculation (PBE) of an optimized crystal structure of Nd3Sm2Hg3.

## Properties
DFT formation energy: -0.353 eV/atom
M_tot: 0.183 μB per cell

Structure (POSCAR):
```
Nd3Sm2Hg3
1.0
-1.912 2.748 11.293
1.912 -2.748 11.293
1.912 2.748 -11.293
Nd Sm Hg
3 2 3
direct
0.000 0.000 0.000
0.379 0.879 0.500
0.621 0.121 0.500
0.233 0.233 0.000
0.767 0.767 0.000
0.120 0.620 0.500
0.500 0.500 0.000
0.880 0.380 0.500
```



Entry 3:
The following is a DFT calculation (PBE) of an optimized crystal structure of Nd4SmHg5.

## Properties
DFT formation energy: -0.472 eV/atom
M_tot: 2.221 μB per cell

Structure (POSCAR):
```
Nd4SmHg5
1.0
3.837 0.000 0.000
0.000 3.837 0.000
0.000 0.000 19.077
Nd Sm Hg
4 1 5
direct
0.000 0.000 0.101
0.000 0.000 0.302
0.000 0.000 0.698
0.000 0.000 0.899
0.000 0.000 0.500
0.500 0.500 0.000
0.500 0.500 0.201
0.500 0.500 0.403
0.500 0.500 0.597
0.500 0.500 0.799
```



Entry 4:
The following is a DFT calculation (PBE) of an optimized crystal structure of NdSm2Hg6.

## Properties
DFT formation energy: -0.423 eV/atom
M_tot: 0.489 μB per cell

Structure (POSCAR):
```
NdSm2Hg6
1.0
8.720 0.000 0.000
-4.360 7.552 0.000
0.000 0.000 3.473
Nd Sm Hg
1 2 6
direct
0.000 0.000 0.000
0.333 0.667 0.000
0.667 0.333 0.000
0.000 0.334 0.500
0.000 0.666 0.500
0.334 0.000 0.500
0.334 0.334 0.500
0.666 0.000 0.500
0.666 0.666 0.500
```



Entry 5:
The following is a DFT calculation (PBE) of an optimized crystal structure of Nd8SmHg6.

## Properties
DFT formation energy: -0.250 eV/atom
M_tot: 2.789 μB per cell

Structure (POSCAR):
```
Nd8SmHg6
1.0
4.596 2.653 6.516
-4.596 2.653 6.516
0.000 -5.307 6.516
Nd Sm Hg
8 1 6
direct
0.048 0.386 0.720
0.166 0.166 0.166
0.280 0.952 0.614
0.386 0.720 0.048
0.614 0.280 0.952
0.720 0.048 0.386
0.834 0.834 0.834
0.952 0.614 0.280
0.500 0.500 0.500
0.116 0.776 0.446
0.224 0.554 0.884
0.446 0.116 0.776
0.554 0.884 0.224
0.776 0.446 0.116
0.884 0.224 0.554
```



Entry 6:
The following is a DFT calculation (PBE) of an optimized crystal structure of Nd4Sm2Hg.

## Properties
DFT formation energy: -0.012 eV/atom
M_tot: 0.000 μB per cell

Structure (POSCAR):
```
Nd4Sm2Hg
1.0
8.437 -1.807 0.000
8.437 1.807 0.000
-3.994 0.000 7.678
Nd Sm Hg
4 2 1
direct
0.083 0.083 0.201
0.373 0.373 0.120
0.627 0.627 0.880
0.917 0.917 0.799
0.216 0.216 0.639
0.784 0.784 0.361
0.000 0.000 0.500
```



Entry 7:
The following is a DFT calculation (PBE) of an optimized crystal structure of NdSmHg.

## Properties
DFT formation energy: -0.305 eV/atom
Energy relative to the lowest polymorph listed for this composition: 0.00 eV per formula unit
M_tot: 0.295 μB per cell

Structure (POSCAR):
```
NdSmHg
1.0
-1.870 1.870 6.478
1.870 -1.870 6.478
1.870 1.870 -6.478
Nd Sm Hg
1 1 1
direct
0.000 0.000 0.000
0.307 0.307 0.000
0.658 0.658 0.000
```



Entry 8:
The following is a DFT calculation (PBE) of an optimized crystal structure of Nd2SmHg2.

## Properties
DFT formation energy: -0.321 eV/atom
Energy relative to the lowest polymorph listed for this composition: 0.26 eV per formula unit
M_tot: 0.000 μB per cell

Structure (POSCAR):
```
Nd2SmHg2
1.0
-2.452 3.590 4.242
2.452 -3.590 4.242
2.452 3.590 -4.242
Nd Sm Hg
2 1 2
direct
0.193 0.193 0.000
0.807 0.807 0.000
0.500 0.000 0.500
0.215 0.500 0.715
0.785 0.500 0.285
```



Entry 9:
The following is a DFT calculation (PBE) of an optimized crystal structure of Nd2Sm2Hg3.

## Properties
DFT formation energy: -0.313 eV/atom
Energy relative to the lowest polymorph listed for this composition: 0.00 eV per formula unit
M_tot: 1.142 μB per cell

Structure (POSCAR):
```
Nd2Sm2Hg3
1.0
5.350 0.000 0.000
-2.671 4.641 0.000
-2.658 -1.544 8.549
Nd Sm Hg
2 2 3
direct
0.240 0.119 0.359
0.760 0.881 0.641
0.255 0.628 0.883
0.745 0.372 0.117
0.000 0.500 0.500
0.500 0.251 0.752
0.500 0.749 0.248
```



Entry 10:
The following is a DFT calculation (PBE) of an optimized crystal structure of Nd3SmHg2.

## Properties
DFT formation energy: -0.079 eV/atom
Energy relative to the lowest polymorph listed for this composition: 1.50 eV per formula unit
M_tot: 0.006 μB per cell

Structure (POSCAR):
```
Nd3SmHg2
1.0
-3.676 7.467 3.829
3.676 -7.467 3.829
3.676 7.467 -3.829
Nd Sm Hg
6 2 4
direct
0.022 0.750 0.272
0.250 0.250 0.000
0.478 0.750 0.728
0.522 0.250 0.272
0.750 0.750 0.000
0.978 0.250 0.728
0.000 0.500 0.500
0.500 0.000 0.500
0.139 0.200 0.339
0.361 0.700 0.061
0.639 0.300 0.939
0.861 0.800 0.661
```



Entry 11:
The following is a DFT calculation (PBE) of an optimized crystal structure of Nd6SmHg2.

## Properties
DFT formation energy: -0.141 eV/atom
Energy relative to the lowest polymorph listed for this composition: 0.62 eV per formula unit
M_tot: 0.000 μB per cell

Structure (POSCAR):
```
Nd6SmHg2
1.0
7.861 -5.825 0.000
7.861 5.825 0.000
-0.597 0.000 6.233
Nd Sm Hg
12 2 4
direct
0.063 0.820 0.995
0.149 0.398 0.168
0.180 0.937 0.505
0.230 0.534 0.689
0.398 0.149 0.668
0.466 0.770 0.811
0.534 0.230 0.189
0.602 0.851 0.332
0.770 0.466 0.311
0.820 0.063 0.495
0.851 0.602 0.832
0.937 0.180 0.005
0.397 0.603 0.250
0.603 0.397 0.750
0.039 0.291 0.595
0.291 0.039 0.095
0.709 0.961 0.905
0.961 0.709 0.405
```



Entry 12:
The following is a DFT calculation (PBE) of an optimized crystal structure of Nd2Sm6Hg.

## Properties
DFT formation energy: -0.031 eV/atom
Energy relative to the lowest polymorph listed for this composition: 0.60 eV per formula unit
M_tot: 0.000 μB per cell

Structure (POSCAR):
```
Nd2Sm6Hg
1.0
10.045 0.000 0.000
0.000 10.449 0.000
0.000 0.000 5.590
Nd Sm Hg
4 12 2
direct
0.194 0.244 0.000
0.306 0.744 0.500
0.694 0.256 0.500
0.806 0.756 0.000
0.021 0.314 0.500
0.136 0.894 0.000
0.184 0.570 0.000
0.316 0.070 0.500
0.364 0.394 0.500
0.479 0.814 0.000
0.521 0.186 0.000
0.636 0.606 0.500
0.684 0.930 0.500
0.816 0.430 0.000
0.864 0.106 0.000
0.979 0.686 0.500
0.000 0.000 0.500
0.500 0.500 0.000
```



Entry 13:
The following is a DFT calculation (PBE) of an optimized crystal structure of Nd2Sm8Hg.

## Properties
DFT formation energy: 0.020 eV/atom
Energy relative to the lowest polymorph listed for this composition: 0.67 eV per formula unit
M_tot: 0.000 μB per cell

Structure (POSCAR):
```
Nd2Sm8Hg
1.0
8.870 -2.783 0.000
8.870 2.783 0.000
-2.867 0.000 7.385
Nd Sm Hg
2 8 1
direct
0.187 0.187 0.159
0.813 0.813 0.841
0.016 0.016 0.268
0.180 0.180 0.731
0.336 0.336 0.574
0.400 0.400 0.072
0.600 0.600 0.928
0.664 0.664 0.426
0.820 0.820 0.269
0.984 0.984 0.732
0.500 0.500 0.500
```



Entry 14:
The following is a DFT calculation (PBE) of an optimized crystal structure of Nd6SmHg2.

## Properties
DFT formation energy: -0.210 eV/atom
Energy relative to the lowest polymorph listed for this composition: 0.00 eV per formula unit
M_tot: 0.000 μB per cell

Structure (POSCAR):
```
Nd6SmHg2
1.0
6.499 -1.908 0.000
6.499 1.908 0.000
-3.923 0.000 11.654
Nd Sm Hg
6 1 2
direct
0.021 0.021 0.338
0.310 0.310 0.410
0.314 0.314 0.124
0.686 0.686 0.876
0.690 0.690 0.590
0.979 0.979 0.662
0.000 0.000 0.000
0.359 0.359 0.801
0.641 0.641 0.199
```



Entry 15:
The following is a DFT calculation (PBE) of an optimized crystal structure of Nd2SmHg.

## Properties
DFT formation energy: -0.146 eV/atom
Energy relative to the lowest polymorph listed for this composition: 0.32 eV per formula unit
M_tot: 0.000 μB per cell

Structure (POSCAR):
```
Nd2SmHg
1.0
1.853 1.070 10.925
-1.853 1.070 10.925
0.000 -2.139 10.925
Nd Sm Hg
2 1 1
direct
0.243 0.243 0.243
0.757 0.757 0.757
0.000 0.000 0.000
0.500 0.500 0.500
```



Entry 16:
The following is a DFT calculation (PBE) of an optimized crystal structure of Nd3SmHg.

## Properties
DFT formation energy: -0.085 eV/atom
Energy relative to the lowest polymorph listed for this composition: 0.44 eV per formula unit
M_tot: 0.000 μB per cell

Structure (POSCAR):
```
Nd3SmHg
1.0
5.801 -3.832 0.000
5.801 3.832 0.000
-2.918 0.000 7.584
Nd Sm Hg
6 2 2
direct
0.058 0.058 0.239
0.089 0.587 0.353
0.413 0.911 0.647
0.587 0.089 0.353
0.911 0.413 0.647
0.942 0.942 0.761
0.440 0.440 0.759
0.560 0.560 0.241
0.255 0.255 0.000
0.745 0.745 0.000
```



Entry 17:
The following is a DFT calculation (PBE) of an optimized crystal structure of NdSm2Hg.

## Properties
DFT formation energy: -0.144 eV/atom
Energy relative to the lowest polymorph listed for this composition: 0.35 eV per formula unit
M_tot: 0.000 μB per cell

Structure (POSCAR):
```
NdSm2Hg
1.0
1.859 1.073 10.786
-1.859 1.073 10.786
0.000 -2.146 10.786
Nd Sm Hg
1 2 1
direct
0.000 0.000 0.000
0.575 0.575 0.575
0.759 0.759 0.759
0.167 0.167 0.167
```



Entry 18:
The following is a DFT calculation (PBE) of an optimized crystal structure of Nd2Sm2Hg3.

## Properties
DFT formation energy: -0.272 eV/atom
Energy relative to the lowest polymorph listed for this composition: 0.28 eV per formula unit
M_tot: 0.000 μB per cell

Structure (POSCAR):
```
Nd2Sm2Hg3
1.0
6.878 -2.621 0.000
6.878 2.621 0.000
-2.689 0.000 5.992
Nd Sm Hg
2 2 3
direct
0.156 0.156 0.252
0.844 0.844 0.748
0.444 0.444 0.206
0.556 0.556 0.794
0.000 0.000 0.500
0.229 0.229 0.811
0.771 0.771 0.189
```



Entry 19:
The following is a DFT calculation (PBE) of an optimized crystal structure of Nd4SmHg2.

## Properties
DFT formation energy: -0.191 eV/atom
M_tot: 0.000 μB per cell

Structure (POSCAR):
```
Nd4SmHg2
1.0
6.097 0.000 0.000
2.301 8.876 0.000
2.272 3.798 8.045
Nd Sm Hg
8 2 4
direct
0.000 0.000 0.000
0.042 0.054 0.399
0.091 0.549 0.187
0.264 0.587 0.601
0.459 0.020 0.649
0.545 0.199 0.202
0.590 0.579 0.863
0.925 0.329 0.627
0.512 0.803 0.131
0.762 0.766 0.430
0.042 0.347 0.998
0.481 0.199 0.866
0.591 0.414 0.371
0.966 0.810 0.795
```



Entry 20:
The following is a DFT calculation (PBE) of an optimized crystal structure of NdSm6Hg2.

## Properties
DFT formation energy: -0.206 eV/atom
M_tot: 0.000 μB per cell

Structure (POSCAR):
```
NdSm6Hg2
1.0
6.433 -1.902 0.000
6.433 1.902 0.000
-3.867 0.000 11.513
Nd Sm Hg
1 6 2
direct
0.000 0.000 0.000
0.018 0.018 0.339
0.311 0.311 0.414
0.313 0.313 0.125
0.687 0.687 0.875
0.689 0.689 0.586
0.982 0.982 0.661
0.355 0.355 0.792
0.645 0.645 0.208
```



no.,density of states at the Fermi level (states/eV per cell)
1,8.94
2,10.12
3,11.56
4,6.50
5,19.53
6,8.59
7,4.13
8,5.21
9,9.50
10,18.30
11,23.13
12,25.65
13,16.54
14,9.46
15,3.96
16,10.35
17,4.41
18,6.12
19,15.83
20,9.37